{
  "formula": "LiGa2Cu3",
  "functional": "PBE-GGA",
  "state": "optimized geometry",
  "polymorph_energy_mev_per_atom": 0,
  "crystal_system": "triclinic",
  "density_g_cm3": 6.74,
  "lattice_angstrom": [[3.960, 0.000, 0.000], [-0.009, 5.363, 0.000], [-1.932, -1.427, 7.814]],
  "species": ["Li", "Li", "Ga", "Ga", "Ga", "Ga", "Cu", "Cu", "Cu", "Cu", "Cu", "Cu"],
  "fractional_positions": [[0.144, 0.221, 0.289], [0.856, 0.779, 0.711], [0.222, 0.811, 0.447], [0.471, 0.735, 0.944], [0.529, 0.265, 0.056], [0.778, 0.189, 0.553], [0.070, 0.635, 0.140], [0.319, 0.494, 0.637], [0.371, 0.073, 0.743], [0.629, 0.927, 0.257], [0.681, 0.506, 0.363], [0.930, 0.365, 0.860]]
}

=====

{
  "formula": "Li2Ga4Cu3",
  "functional": "PBE-GGA",
  "state": "optimized geometry",
  "polymorph_energy_mev_per_atom": 11,
  "crystal_system": "orthorhombic",
  "density_g_cm3": 5.67,
  "lattice_angstrom": [[2.655, -7.243, 0.000], [2.655, 7.243, 0.000], [0.000, 0.000, 7.366]],
  "species": ["Li", "Li", "Li", "Li", "Ga", "Ga", "Ga", "Ga", "Ga", "Ga", "Ga", "Ga", "Cu", "Cu", "Cu", "Cu", "Cu", "Cu"],
  "fractional_positions": [[0.102, 0.898, 0.895], [0.398, 0.602, 0.395], [0.602, 0.398, 0.605], [0.898, 0.102, 0.105], [0.178, 0.822, 0.512], [0.183, 0.317, 0.750], [0.317, 0.183, 0.250], [0.322, 0.678, 0.012], [0.678, 0.322, 0.988], [0.683, 0.817, 0.750], [0.817, 0.683, 0.250], [0.822, 0.178, 0.488], [0.000, 0.000, 0.500], [0.007, 0.493, 0.750], [0.493, 0.007, 0.250], [0.500, 0.500, 0.000], [0.507, 0.993, 0.750], [0.993, 0.507, 0.250]]
}

=====

{
  "formula": "LiGa4Cu15",
  "functional": "PBE-GGA",
  "state": "optimized geometry",
  "crystal_system": "tetragonal",
  "density_g_cm3": 8.22,
  "lattice_angstrom": [[3.727, 0.000, 0.000], [0.000, 3.727, 0.000], [0.000, 0.000, 18.030]],
  "species": ["Li", "Ga", "Ga", "Ga", "Ga", "Cu", "Cu", "Cu", "Cu", "Cu", "Cu", "Cu", "Cu", "Cu", "Cu", "Cu", "Cu", "Cu", "Cu", "Cu"],
  "fractional_positions": [[0.000, 0.000, 0.000], [0.000, 0.000, 0.196], [0.000, 0.000, 0.399], [0.000, 0.000, 0.601], [0.000, 0.000, 0.804], [0.000, 0.500, 0.097], [0.000, 0.500, 0.298], [0.000, 0.500, 0.500], [0.000, 0.500, 0.702], [0.000, 0.500, 0.903], [0.500, 0.000, 0.097], [0.500, 0.000, 0.298], [0.500, 0.000, 0.500], [0.500, 0.000, 0.702], [0.500, 0.000, 0.903], [0.500, 0.500, 0.000], [0.500, 0.500, 0.198], [0.500, 0.500, 0.399], [0.500, 0.500, 0.601], [0.500, 0.500, 0.802]]
}

=====

no.,final energy (eV per atom),energy relative to the elements (meV per atom)
1,-3.5222,-146
2,-3.3005,-165
3,-3.8655,-92